1.
Here is an optimized crystal structure of Nd2TcOs3 from Alexandria via LeMat-Bulk. Energies are from PBE.

Values from the calculation:
- energy of formation (eV/atom) = -0.0525

```
data_Nd2TcOs3
_chemical_formula_sum 'Nd4 Tc2 Os6'
_symmetry_space_group_name_H-M 'C 1 2/m 1'
_symmetry_Int_Tables_number 12
_cell_length_a 9.1521
_cell_length_b 5.5482
_cell_length_c 5.3497
_cell_angle_alpha 90.00
_cell_angle_beta 122.34
_cell_angle_gamma 90.00
loop_
_symmetry_equiv_pos_as_xyz
'x,y,z'
'-x,-y,-z'
'-x,y,-z'
'x,-y,z'
'x+1/2,y+1/2,z'
'-x+1/2,-y+1/2,-z'
'-x+1/2,y+1/2,-z'
'x+1/2,-y+1/2,z'
loop_
_atom_site_label
_atom_site_fract_x
_atom_site_fract_y
_atom_site_fract_z
Nd1 0.1245 0.0000 0.3757
Tc1 0.0000 0.5000 0.0000
Os1 0.0000 0.5000 0.5000
Os2 0.2500 0.2500 0.0000
```

2.
Here is an optimized crystal structure of NdTeOs from Alexandria via LeMat-Bulk. Energies are from PBE.

Values from the calculation:
- uncorrected formation energy (eV per atom) = 0.0932

```
data_NdTeOs
_chemical_formula_sum 'Nd4 Te4 Os4'
_symmetry_space_group_name_H-M 'A m m 2'
_symmetry_Int_Tables_number 38
_cell_length_a 11.9204
_cell_length_b 4.3474
_cell_length_c 5.7011
_cell_angle_alpha 90.00
_cell_angle_beta 90.00
_cell_angle_gamma 90.00
loop_
_symmetry_equiv_pos_as_xyz
'x,y,z'
'-x,-y,z'
'-x,y,z'
'x,-y,z'
'x,y+1/2,z+1/2'
'-x,-y+1/2,z+1/2'
'-x,y+1/2,z+1/2'
'x,-y+1/2,z+1/2'
loop_
_atom_site_label
_atom_site_fract_x
_atom_site_fract_y
_atom_site_fract_z
Nd1 0.1506 0.0000 0.0000
Te1 0.3671 0.0000 0.3762
Os1 0.0000 0.0000 0.4970
Os2 0.5000 0.0000 0.9907
```

3.
Here is an optimized crystal structure of Nd3ThOs8 from Alexandria via LeMat-Bulk. Energies are from PBE.

Values from the calculation:
- energy of formation (eV/atom) = -0.1222

```
data_Nd3ThOs8
_chemical_formula_sum 'Nd9 Th3 Os24'
_symmetry_space_group_name_H-M 'R 3 m'
_symmetry_Int_Tables_number 160
_symmetry_space_group_name_Hall 'R 3 -2"'
_cell_length_a 5.4514
_cell_length_b 5.4514
_cell_length_c 26.6875
_cell_angle_alpha 90.00
_cell_angle_beta 90.00
_cell_angle_gamma 120.00
loop_
_atom_site_label
_atom_site_fract_x
_atom_site_fract_y
_atom_site_fract_z
Nd1 0.0000 0.0000 0.0000
Nd2 0.0000 0.0000 0.1244
Nd3 0.0000 0.0000 0.6259
Th1 0.0000 0.0000 0.4999
Os1 0.0000 0.0000 0.3156
Os2 0.0000 0.0000 0.8151
Os3 0.1692 0.3384 0.3964
Os4 0.1688 0.3377 0.8966
```

| no. | magnetization (μB/f.u.) |
| --- | --- |
| 1 | 0.0 |
| 2 | 0.0 |
| 3 | 0.0 |